1.
First-principles (PBE-GGA) data for a relaxed Cs3PdRh crystal, as listed in the Alexandria database.

Calculated values
Crystal system: cubic
Calculated volume in A^3/atom: 41.05
Formation enthalpy at 0 K in meV/atom: 600
Space group: No. 221
VASP energy in eV for the cell shown: -12.1

The structure in POSCAR format:
```
Cs3PdRh
1.0
5.8989 0.0000 0.0000
0.0000 5.8989 0.0000
0.0000 0.0000 5.8989
Cs Pd Rh
3 1 1
direct
0.0000 0.0000 0.5000
0.0000 0.5000 0.0000
0.5000 0.0000 0.0000
0.5000 0.5000 0.5000
0.0000 0.0000 0.0000
```


2.
First-principles (PBE-GGA) data for a relaxed Hf3TaCo2C crystal, as listed in the Alexandria database.

Calculated values
Crystal system: orthorhombic
Calculated volume in A^3/atom: 16.67
Formation enthalpy at 0 K in meV/atom: -190
Space group: No. 71
VASP energy in eV for the cell shown: -66.5

The structure in POSCAR format:
```
Hf3TaCo2C
1.0
-2.1313 2.1847 6.2670
2.1313 -2.1847 6.2670
2.1313 2.1847 -6.2670
Hf Ta Co C
3 1 2 1
direct
0.0000 0.0000 0.0000
0.3160 0.8160 0.5000
0.6840 0.1840 0.5000
0.5000 0.5000 0.0000
0.1222 0.6222 0.5000
0.8778 0.3778 0.5000
0.5000 0.0000 0.5000
```


3.
First-principles (PBE-GGA) data for a relaxed La2CrW crystal, as listed in the Alexandria database.

Calculated values
Crystal system: tetragonal
Calculated volume in A^3/atom: 23.74
Formation enthalpy at 0 K in meV/atom: 397
Space group: No. 99
VASP energy in eV for the cell shown: -30.8

The structure in POSCAR format:
```
La2CrW
1.0
3.2288 0.0000 0.0000
0.0000 3.2288 0.0000
0.0000 0.0000 9.1072
La Cr W
2 1 1
direct
0.0000 0.0000 0.0000
0.5000 0.5000 0.3811
0.5000 0.5000 0.7600
0.0000 0.0000 0.6330
```


4.
First-principles (PBE-GGA) data for a relaxed Li15In2Hg2 crystal, as listed in the Alexandria database.

Calculated values
Crystal system: trigonal
Calculated volume in A^3/atom: 18.24
Formation enthalpy at 0 K in meV/atom: -106
Space group: No. 166
VASP energy in eV for the cell shown: -36.8

The structure in POSCAR format:
```
Li15In2Hg2
1.0
4.0711 2.3505 6.0366
-4.0711 2.3505 6.0366
0.0000 -4.7009 6.0366
Li In Hg
15 2 2
direct
0.0000 0.0000 0.5000
0.0000 0.3080 0.6920
0.0000 0.5000 0.0000
0.0000 0.6920 0.3080
0.1939 0.5641 0.5641
0.3080 0.0000 0.6920
0.3080 0.6920 0.0000
0.4359 0.4359 0.8061
0.4359 0.8061 0.4359
0.5000 0.0000 0.0000
0.5641 0.1939 0.5641
0.5641 0.5641 0.1939
0.6920 0.0000 0.3080
0.6920 0.3080 0.0000
0.8061 0.4359 0.4359
0.0892 0.0892 0.0892
0.9108 0.9108 0.9108
0.2884 0.2884 0.2884
0.7116 0.7116 0.7116
```


| no. | N(E_F) (states/eV per atom) |
| --- | --- |
| 1 | 0.9705 |
| 2 | 1.0182 |
| 3 | 1.6260 |
| 4 | 0.3692 |